1.
This record from Alexandria describes Pm2Ag5Pb after structural relaxation. The functional is PBE.

a b c (Å): 6.3316 6.3401 6.3781
angles (deg): 117.30 117.06 94.33
Closest atoms and distances in Å follow each position.
Space group P1 (No. 1)
Unique sites:
Pm: 0.0000 0.0000 0.0000  10 Ag 3.15-3.35, 2 Pb 3.29-3.38
Pm: 0.4698 0.5223 0.9886  10 Ag 3.15-3.38, 2 Pb 3.30-3.36
Ag: 0.0109 0.9745 0.4986  4 Ag 2.92-3.23, 1 Pb 3.13, 4 Pm 3.16-3.25
Ag: 0.4561 0.5389 0.4958  4 Ag 2.92-3.25, 4 Pm 3.15-3.24, 2 Pb 3.17-3.23
Ag: 0.4748 0.0019 0.9532  3 Ag 2.96-3.01, 4 Pm 3.15-3.21, 2 Pb 3.18-3.24
Ag: 0.9334 0.4634 0.4779  7 Ag 3.01-3.36, 4 Pm 3.30-3.38
Ag: 0.9990 0.5231 0.0571  3 Ag 2.92-3.07, 1 Pb 3.08, 4 Pm 3.17-3.21
Pb: 0.5327 0.0555 0.5090  8 Ag 3.08-3.41, 4 Pm 3.29-3.38

Calculated values
E = -3.55 eV/atom
DOS(E_F) = 5.5 states/eV per cell
Formation enthalpy at 0 K = -0.91 eV per formula unit


2.
This record from Alexandria describes Pm3AgPb after structural relaxation. The functional is PBE.

a b c (Å): 9.4516 8.6292 7.7682
angles (deg): 90.00 103.08 90.00
Closest atoms and distances in Å follow each position.
Space group P2_1/c (No. 14)
Unique sites:
Pm: 0.0736 0.0131 0.2127  3 Ag 2.97-3.01, 1 Pm 3.29, 1 Pb 3.29
Pm: 0.2588 0.6437 0.1291  2 Ag 3.18-3.22, 3 Pb 3.22-3.50
Pm: 0.3552 0.1967 0.9540  1 Ag 3.12, 4 Pb 3.27-3.40
Ag: 0.0763 0.1737 0.5542  6 Pm 2.97-3.22
Pb: 0.4267 0.5443 0.7870  8 Pm 3.22-3.50, 1 Pb 3.37

Calculated values
E = -4.46 eV/atom
DOS(E_F) = 17.2 states/eV per cell
Formation enthalpy at 0 K = -1.46 eV per formula unit


3.
This record from Alexandria describes Pm5AgPb8 after structural relaxation. The functional is PBE.

a b c (Å): 9.7220 9.7220 9.0189
angles (deg): 90.00 90.00 90.00
Closest atoms and distances in Å follow each position.
Space group I-4 (No. 82)
Unique sites:
Pm: 0.0000 0.0000 0.0000  8 Pb 3.24-3.30
Pm: 0.1206 0.7193 0.6334  8 Pb 3.22-3.58
Ag: 0.0000 0.5000 0.2500  8 Pb 3.03-3.33
Pb: 0.0574 0.8332 0.3055  5 Pm 3.22-3.58, 2 Pb 3.26-3.43, 1 Ag 3.33
Pb: 0.0927 0.6736 0.9898  1 Ag 3.03, 5 Pm 3.25-3.31, 1 Pb 3.26

Calculated values
E = -4.31 eV/atom
DOS(E_F) = 16.3 states/eV per cell
Formation enthalpy at 0 K = -4.11 eV per formula unit


4.
This record from Alexandria describes Pm3Ag3Pb4 after structural relaxation. The functional is PBE.

a b c (Å): 10.2646 10.2646 10.2646
angles (deg): 90.00 90.00 90.00
Closest atoms and distances in Å follow each position.
Space group I-43d (No. 220)
Unique sites:
Pm: 0.0000 0.2500 0.3750  4 Ag 3.14, 4 Pb 3.47
Ag: 0.0000 0.2500 0.8750  4 Pb 2.91, 4 Pm 3.14
Pb: 0.0908 0.0908 0.0908  3 Ag 2.91

Calculated values
E = -4.07 eV/atom
DOS(E_F) = 35.4 states/eV per cell
Formation enthalpy at 0 K = -3.11 eV per formula unit


5.
This record from Alexandria describes Pm2Ag3Pb2 after structural relaxation. The functional is PBE.

a b c (Å): 3.5847 28.3761 3.5853
angles (deg): 90.00 90.00 90.00
Closest atoms and distances in Å follow each position.
Space group Cmmm (No. 65)
Unique sites:
Pm: 0.0000 0.1187 0.0000  5 Ag 3.18-3.37, 4 Pb 3.45
Ag: 0.0000 0.0000 0.0000  8 Ag 2.92
Ag: 0.0000 0.4489 0.5000  5 Ag 2.90-2.92, 4 Pm 3.18
Pb: 0.0000 0.2987 0.5000  6 Pb 3.29-3.59, 4 Pm 3.45

Calculated values
E = -3.79 eV/atom
DOS(E_F) = 11.2 states/eV per cell
Formation enthalpy at 0 K = -1.08 eV per formula unit


6.
This record from Alexandria describes Pm5AgPb4 after structural relaxation. The functional is PBE.

a b c (Å): 3.6252 3.6252 22.0133
angles (deg): 90.00 90.00 90.00
Closest atoms and distances in Å follow each position.
Space group P4/mmm (No. 123)
Unique sites:
Pm: 0.0000 0.0000 0.0000  8 Pb 3.42, 4 Pm 3.63
Pm: 0.0000 0.0000 0.2051  8 Pb 3.41-3.43, 4 Pm 3.63
Pm: 0.0000 0.0000 0.4103  4 Ag 3.24, 4 Pb 3.40
Ag: 0.5000 0.5000 0.5000  8 Pm 3.24
Pb: 0.5000 0.5000 0.1027  8 Pm 3.41-3.42, 4 Pb 3.63
Pb: 0.5000 0.5000 0.3087  8 Pm 3.40-3.43, 4 Pb 3.63

Calculated values
E = -4.60 eV/atom
DOS(E_F) = 9.2 states/eV per cell
Formation enthalpy at 0 K = -4.52 eV per formula unit


7.
This record from Alexandria describes Pm12AgPb6 after structural relaxation. The functional is PBE.

a b c (Å): 13.7074 13.7074 12.6574
angles (deg): 90.00 90.00 120.00
Closest atoms and distances in Å follow each position.
Space group R-3 (No. 148, hexagonal axes)
Unique sites:
Pm: 0.0284 0.8339 0.3913  4 Pb 3.20-3.34
Pm: 0.0647 0.8586 0.8803  1 Ag 2.92, 2 Pb 3.19-3.26
Ag: 0.0000 0.0000 0.0000  6 Pm 2.92
Pb: 0.0420 0.7623 0.6409  7 Pm 3.19-3.39

Calculated values
E = -4.52 eV/atom
DOS(E_F) = 70.5 states/eV per cell
Formation enthalpy at 0 K = -3.72 eV per formula unit


8.
This record from Alexandria describes PmPr2Ag2Pb2 after structural relaxation. The functional is PBE.

a b c (Å): 4.9882 4.9882 27.0698
angles (deg): 90.00 90.00 120.00
Closest atoms and distances in Å follow each position.
Space group R-3m (No. 166, hexagonal axes)
Unique sites:
Pm: 0.0000 0.0000 0.0000  6 Pb 3.36, 2 Pr 3.68
Pr: 0.0000 0.0000 0.1360  3 Ag 3.03, 3 Pr 3.32
Ag: 0.0000 0.0000 0.4341  3 Pr 3.03, 3 Pb 3.05
Pb: 0.0000 0.0000 0.2693  3 Ag 3.05, 3 Pm 3.36

Calculated values
E = -4.20 eV/atom
DOS(E_F) = 10.0 states/eV per cell
Formation enthalpy at 0 K = -1.99 eV per formula unit